Material: LiLa
Method: DFT, PBEsol
State: optimized geometry

Computed properties:
* SG: No. 166
* energy of formation from the pure elements: 0.174 eV per formula unit
* spin magnetization: 0.000 μB/atom

Cell lengths 11.141, 11.141, 11.141 Å; angles 17.99, 17.99, 17.99 degrees
Sites, in units of the cell vectors:
Li 0.131 0.131 0.131
Li 0.869 0.869 0.869
La 0.379 0.379 0.379
La 0.621 0.621 0.621

=====

Material: LiLa5
Method: DFT, PBEsol
State: optimized geometry

Computed properties:
* SG: No. 8
* energy of formation from the pure elements: 0.287 eV per formula unit
* spin magnetization: 0.000 μB/atom

Cell lengths 6.444, 6.444, 8.967 Å; angles 110.75, 110.75, 33.22 degrees
Sites, in units of the cell vectors:
Li 0.000 0.000 0.000
La 0.010 0.010 0.512
La 0.332 0.332 0.685
La 0.360 0.360 0.163
La 0.654 0.654 0.861
La 0.675 0.675 0.316

=====

| no. | excess energy over the best structure of this formula in the dataset (kJ per mole of atoms) |
| --- | --- |
| 1 | 2.97 |
| 2 | 1.55 |